The following is a DFT calculation (GGA+U) of CaCrTcO6 after structural relaxation.

Properties
As for the symmetry: P312, No. 149. The value obtained for the calculated volume is 12.88 Å³ per atom. The total energy comes out at -7.38 eV/atom. The calculation puts the total magnetic moment at 3.000 μB/f.u. For the density, the calculation gives 4.10 g cm⁻³.

Cell and atoms, written as POSCAR:
```
CaCrTcO6
1.0
5.163 0.000 0.000
-2.582 4.472 0.000
0.000 0.000 5.020
Ca Cr Tc O
1 1 1 6
direct
0.000 0.000 0.000
0.667 0.333 0.500
0.333 0.667 0.500
0.013 0.379 0.288
0.013 0.634 0.712
0.366 0.379 0.712
0.366 0.987 0.288
0.621 0.634 0.288
0.621 0.987 0.712
```